Density functional theory data (PBE+U) for a relaxed GaFeCuF6 crystal.

Electronic total energy: -0.17228 hartree per atom
DOS(E_F): 0.727 states/eV/atom

a = 5.339 Å, b = 5.339 Å, c = 9.236 Å
α = 90.00°, β = 90.00°, γ = 120.00°
Each line ends with the local moment (μB).
Sites, in units of the cell vectors:
Ga: 0.667 0.333 0.250  0.00
Ga: 0.333 0.667 0.750  0.00
Fe: 0.333 0.667 0.250  3.76
Fe: 0.667 0.333 0.750  3.76
Cu: 0.000 0.000 0.000  0.11
Cu: 0.000 0.000 0.500  0.11
F: 0.657 0.632 0.135  0.02
F: 0.975 0.343 0.135  0.02
F: 0.343 0.975 0.635  0.02
F: 0.025 0.657 0.865  0.02
F: 0.368 0.343 0.365  0.02
F: 0.975 0.632 0.365  0.02
F: 0.632 0.975 0.865  0.02
F: 0.657 0.025 0.365  0.02
F: 0.025 0.368 0.635  0.02
F: 0.368 0.025 0.135  0.02
F: 0.632 0.657 0.635  0.02
F: 0.343 0.368 0.865  0.02